Compound: SmDyBC2
Source: OQMD via LeMat-Bulk
Functional: PBE
Structure: optimized geometry

abc: 3.687 3.687 6.051
angles: 107.16 107.16 89.99
Fractional positions:
Sm  0.648  0.648  0.290
B  0.002  0.002  0.003
C  0.863  0.863  0.731
C  0.139  0.139  0.273
Dy  0.348  0.348  0.702

## Properties
As for the crystal system: monoclinic. The density is 7723 kg/m³. The value obtained for the total energy is -36.41 eV for the cell shown.